[1]
DFT (PBE-GGA) results for a relaxed Co4CuAu crystal.

Lattice parameters (Å, degrees): 4.763 4.763 4.763 60.00 60.00 60.00
Site moments in Bohr magnetons follow the coordinates.
Fractional positions:
Co  0.375  0.375  0.874  1.78
Co  0.375  0.375  0.375  1.78
Cu  0.750  0.750  0.750  0.05
Co  0.375  0.874  0.375  1.78
Au  0.000  0.000  0.000  0.04
Co  0.874  0.375  0.375  1.78

For the total energy, the calculation gives -5.723 eV/atom. The crystal system is cubic. As for the size of the total moment: 1.185 μB per atom. The value obtained for the formation enthalpy at 0 K is 1.5 eV/f.u.

***

[2]
DFT (PBE-GGA) results for a relaxed CoCu3Au crystal.

Lattice parameters (Å, degrees): 4.376 4.376 4.376 90.00 90.00 90.00
Site moments in Bohr magnetons follow the coordinates.
Fractional positions:
Co  0.000  0.000  0.000  1.60
Cu  0.500  0.000  0.000  0.03
Cu  0.000  0.000  0.500  0.22
Au  0.500  0.500  0.500  0.01
Cu  0.000  0.500  0.000  0.08

For the total energy, the calculation gives -3.589 eV/atom. The crystal system is cubic. As for the size of the total moment: 0.369 μB per atom. The value obtained for the formation enthalpy at 0 K is 4.7 eV/f.u.

***

Number 1: N(E_F) 8.52 states/eV/f.u.. Number 2: N(E_F) 7.39 states/eV/f.u..